## Pr3Dy4Er2 (PBE)

Data for an optimized crystal structure of Pr3Dy4Er2.

The structure in CIF format:
```
data_Pr3Dy4Er2
_cell_length_a 16.676
_cell_length_b 11.737
_cell_length_c 6.069
_cell_angle_alpha 90.00
_cell_angle_beta 97.86
_cell_angle_gamma 90.00
_space_group_name_H-M_alt 'C 1 2/c 1'
_space_group_IT_number 15
loop_
_space_group_symop_operation_xyz
'x,y,z'
'-x,-y,-z'
'-x,y,-z+1/2'
'x,-y,z+1/2'
'x+1/2,y+1/2,z'
'-x+1/2,-y+1/2,-z'
'-x+1/2,y+1/2,-z+1/2'
'x+1/2,-y+1/2,z+1/2'
loop_
_atom_site_label
_atom_site_type_symbol
_atom_site_fract_x
_atom_site_fract_y
_atom_site_fract_z
_atom_site_occupancy
Pr1 Pr 0.000 0.108 0.250 1
Pr2 Pr 0.167 0.391 0.083 1
Dy1 Dy 0.050 0.369 0.521 1
Dy2 Dy 0.217 0.130 0.356 1
Er1 Er 0.115 0.132 0.812 1
```

---

## TbErCdNi (PBE)

Data for an optimized crystal structure of TbErCdNi.

The structure in CIF format:
```
data_TbErCdNi
_cell_length_a 7.127
_cell_length_b 7.127
_cell_length_c 7.127
_cell_angle_alpha 90.00
_cell_angle_beta 90.00
_cell_angle_gamma 90.00
_space_group_name_H-M_alt 'F -4 3 m'
_space_group_IT_number 216
_space_group_name_Hall 'F -4 2 3'
loop_
_atom_site_label
_atom_site_type_symbol
_atom_site_fract_x
_atom_site_fract_y
_atom_site_fract_z
_atom_site_occupancy
Tb1 Tb 0.000 0.000 0.000 1
Er1 Er 0.000 0.000 0.500 1
Cd1 Cd 0.250 0.250 0.250 1
Ni1 Ni 0.250 0.250 0.750 1
```

---

## LiPmSnGe (PBE)

Data for an optimized crystal structure of LiPmSnGe.

The structure in CIF format:
```
data_LiPmSnGe
_cell_length_a 7.246
_cell_length_b 7.246
_cell_length_c 7.246
_cell_angle_alpha 90.00
_cell_angle_beta 90.00
_cell_angle_gamma 90.00
_space_group_name_H-M_alt 'F -4 3 m'
_space_group_IT_number 216
_space_group_name_Hall 'F -4 2 3'
loop_
_atom_site_label
_atom_site_type_symbol
_atom_site_fract_x
_atom_site_fract_y
_atom_site_fract_z
_atom_site_occupancy
Li1 Li 0.000 0.000 0.000 1
Pm1 Pm 0.000 0.000 0.500 1
Sn1 Sn 0.250 0.250 0.250 1
Ge1 Ge 0.250 0.250 0.750 1
```

---

Values of formation energy from the elements, in order: 0.906, -1.070, -1.499, all in eV per formula unit.
Values of excess energy over the best structure of this formula in the dataset, in order: 80.8, 106.0, 176.9, all in meV/atom.